Zr2CdAu: single point on PBEsol structure, SCAN.

Output
Energy of formation   -42 kJ per mole of atoms
E_tot   -2.98989 Ry/atom

Unit cell a=4.259 b=4.259 c=8.589 alpha=90.00 beta=90.00 gamma=90.00
Space group I4/mmm (No. 139)
Unique sites:
Zr 0.000 0.500 0.250
Cd 0.000 0.000 0.000
Au 0.000 0.000 0.500